Record 1
TlTe2N: optimized geometry, GGA-PBE.

For the excess energy over the best structure of this formula in the dataset, the calculation gives 122 meV/atom.

The space group is R-3m (No. 166, hexagonal axes) and the conventional cell measures 5.2506, 5.2506 and 20.1471 Å, with angles of 90.00, 90.00 and 120.00 degrees. The inequivalent atoms are Tl at (0.0000, 0.0000, 0.0000), Te at (0.0000, 0.0000, 0.4049) and N at (0.0000, 0.0000, 0.5000).

---

Record 2
TlTe3N: optimized geometry, GGA-PBE.

For the excess energy over the best structure of this formula in the dataset, the calculation gives 0 meV/atom.

The space group is Pm-3m (No. 221) and the conventional cell measures 4.935, 4.935 and 4.935 Å, with angles of 90.00, 90.00 and 90.00 degrees. The inequivalent atoms are Tl at (0.000, 0.000, 0.000), Te at (0.000, 0.500, 0.500) and N at (0.500, 0.500, 0.500).

---

Record 3
Tl5Te3N2: optimized geometry, GGA-PBE.

The space group is C2/c (No. 15) and the conventional cell measures 11.825, 12.303 and 9.388 Å, with angles of 90.00, 103.41 and 90.00 degrees. The inequivalent atoms are Tl at (0.000, 0.128, 0.250), Tl at (0.125, 0.318, 0.614), Tl at (0.230, 0.354, 0.086), Te at (0.000, 0.422, 0.250), Te at (0.216, 0.058, 0.584) and N at (0.035, 0.322, 0.103).

---

Record 4
TlTe2N: optimized geometry, GGA-PBE.

For the excess energy over the best structure of this formula in the dataset, the calculation gives 0 meV/atom.

The space group is I-42d (No. 122) and the conventional cell measures 7.226, 7.226 and 8.475 Å, with angles of 90.00, 90.00 and 90.00 degrees. The inequivalent atoms are Tl at (0.000, 0.000, 0.000), Te at (0.124, 0.250, 0.625) and N at (0.000, 0.000, 0.500).

---

Record 5
Tl2Te4N3: optimized geometry, GGA-PBE.

The space group is Cccm (No. 66) and the conventional cell measures 11.241, 16.150 and 5.774 Å, with angles of 90.00, 90.00 and 90.00 degrees. The inequivalent atoms are Tl at (0.122, 0.078, 0.000), Te at (0.113, 0.440, 0.500), Te at (0.164, 0.189, 0.500), N at (0.000, 0.000, 0.250) and N at (0.202, 0.500, 0.250).

---

Record 6
TlTe2N: optimized geometry, GGA-PBE.

For the excess energy over the best structure of this formula in the dataset, the calculation gives 285 meV/atom.

The space group is R-3m (No. 166, hexagonal axes) and the conventional cell measures 3.3728, 3.3728 and 29.8303 Å, with angles of 90.00, 90.00 and 120.00 degrees. The inequivalent atoms are Tl at (0.0000, 0.0000, 0.0000), Te at (0.0000, 0.0000, 0.1133) and N at (0.0000, 0.0000, 0.5000).

---

For each record above, in turn, the calculated energy relative to the elements, uncorrected values are 0.657; 0.580; 0.243; 0.535; 0.730; 0.820 eV/atom.
For each record above, in turn, the calculated total magnetic moment values are 0.000; 0.000; 0.000; 0.000; 2.059; 0.000 Bohr magnetons per cell.